A relaxed structure of YSc2Cu2, computed with PBEsol.

Calculated values
Density of states at the Fermi level ... 1.33 states/eV per atom
Symmetry ... P4/mbm
Magnetization ... 0.00 μB per formula unit
V ... 19.47 Å³/atom
Uncorrected energy ... -5.876 eV/atom
DFT formation energy ... -66 kJ/mol of formula units

Unit cell a=7.4877 b=7.4877 c=3.4723 alpha=90.00 beta=90.00 gamma=90.00
Fractional coordinates of all 10 atoms:
Y (0.0000, 0.0000, 0.0000)
Y (0.5000, 0.5000, 0.0000)
Sc (0.1608, 0.3392, 0.5000)
Sc (0.3392, 0.8392, 0.5000)
Sc (0.6608, 0.1608, 0.5000)
Sc (0.8392, 0.6608, 0.5000)
Cu (0.1224, 0.6224, 0.0000)
Cu (0.3776, 0.1224, 0.0000)
Cu (0.6224, 0.8776, 0.0000)
Cu (0.8776, 0.3776, 0.0000)

A relaxed structure of YSc2Cu, computed with PBEsol.

Calculated values
Density of states at the Fermi level ... 1.44 states/eV per atom
Symmetry ... Immm
ΔE to the lowest computed polymorph ... 0 meV/atom
Magnetization ... 0.00 μB per formula unit
V ... 21.88 Å³/atom
Uncorrected energy ... -6.177 eV/atom
DFT formation energy ... -33 kJ/mol of formula units

Unit cell a=6.0386 b=6.0386 c=6.0386 alpha=147.61 beta=131.54 gamma=59.50
Fractional coordinates of all 4 atoms:
Y (0.0000, 0.0000, 0.0000)
Sc (0.2915, 0.7915, 0.5000)
Sc (0.7085, 0.2085, 0.5000)
Cu (0.5000, 0.5000, 0.0000)

A relaxed structure of Y2ScCu, computed with PBEsol.

Calculated values
Density of states at the Fermi level ... 1.19 states/eV per atom
Symmetry ... R-3m
ΔE to the lowest computed polymorph ... 167 meV/atom
Magnetization ... 0.00 μB per formula unit
V ... 24.49 Å³/atom
Uncorrected energy ... -6.051 eV/atom
DFT formation energy ... 37 kJ/mol of formula units

Unit cell a=9.7467 b=9.7467 c=9.7467 alpha=20.35 beta=20.35 gamma=20.35
Fractional coordinates of all 4 atoms:
Y (0.2386, 0.2386, 0.2386)
Y (0.7614, 0.7614, 0.7614)
Sc (0.0000, 0.0000, 0.0000)
Cu (0.5000, 0.5000, 0.5000)

A relaxed structure of Y2ScCu, computed with PBEsol.

Calculated values
Density of states at the Fermi level ... 1.44 states/eV per atom
Symmetry ... P4mm
ΔE to the lowest computed polymorph ... 0 meV/atom
Magnetization ... 0.00 μB per formula unit
V ... 23.61 Å³/atom
Uncorrected energy ... -6.217 eV/atom
DFT formation energy ... -28 kJ/mol of formula units

Unit cell a=3.3496 b=3.3496 c=8.4168 alpha=90.00 beta=90.00 gamma=90.00
Fractional coordinates of all 4 atoms:
Y (0.0000, 0.0000, 0.0000)
Y (0.5000, 0.5000, 0.3204)
Sc (0.5000, 0.5000, 0.7079)
Cu (0.0000, 0.0000, 0.5425)